VASP calculation (meta-GGA SCAN) on a crystal of KYCoTc2 relaxed with PBEsol. Values from VASP.

Results
* total magnetization: 0.00 μB per formula unit
* space-group type: P4/mmm, No. 123
* ΔH_f (0 K): 1052.4 meV per atom
* energy: -118.3 eV/f.u.

Structure (Quantum ESPRESSO input):
```
&SYSTEM
  ibrav = 0, nat = 5, ntyp = 4
/
ATOMIC_SPECIES
K 39.10 K.upf
Tc 98.00 Tc.upf
Co 58.93 Co.upf
Y 88.91 Y.upf
ATOMIC_POSITIONS crystal
K 0.5000 0.5000 0.5000
Tc 0.0000 0.5000 0.0000
Tc 0.5000 0.0000 0.0000
Co 0.0000 0.0000 0.0000
Y 0.0000 0.0000 0.5000
CELL_PARAMETERS angstrom
4.5113 0.0000 0.0000
0.0000 4.5113 0.0000
0.0000 0.0000 5.0990
```